[1]
Rb2Ba2Ag: relaxed, PBE.

- D(E_F) (states/eV per cell) = 17.31
- theoretical density (g cm⁻³) = 2.861
- energy of formation (eV/f.u.) = 0.51
- total energy (eV per atom) = -1.62
- total moment (μB/f.u.) = 0.00
- E above lowest polymorph (meV per atom) = 0

Unit cell a=8.9827 b=8.9827 c=7.9617 alpha=90.00 beta=90.00 gamma=90.00
Element x y z (fractional)
Rb1 0.1753 0.6753 0.5000
Rb2 0.6753 0.8247 0.5000
Rb3 0.8247 0.3247 0.5000
Rb4 0.3247 0.1753 0.5000
Ba1 0.3261 0.8261 0.0000
Ba2 0.8261 0.6739 0.0000
Ba3 0.6739 0.1739 0.0000
Ba4 0.1739 0.3261 0.0000
Ag1 0.0000 0.0000 0.0000
Ag2 0.5000 0.5000 0.0000

[2]
Tl4Os3: relaxed, PBE.

- D(E_F) (states/eV per cell) = 6.49
- theoretical density (g cm⁻³) = 15.547
- energy of formation (eV/f.u.) = 5.49
- total energy (eV per atom) = -5.38
- total moment (μB/f.u.) = 0.00

Unit cell a=16.3614 b=16.3614 c=16.3614 alpha=169.40 beta=169.40 gamma=15.02
Element x y z (fractional)
Tl1 0.8440 0.8440 0.0000
Tl2 0.1560 0.1560 0.0000
Tl3 0.5635 0.5635 0.0000
Tl4 0.4365 0.4365 0.0000
Os1 0.0000 0.0000 0.0000
Os2 0.7276 0.7276 0.0000
Os3 0.2724 0.2724 0.0000